Below is crystalline NaMnCuO2 at its relaxed geometry, with properties calculated at the PBE+U level.

Cell: 5.1902 4.8510 5.9912 Å, 90.00 90.13 90.00°
With the nearest neighbours (Å) after each atom.
Fractional positions:
Na1 0.0000 0.0036 0.2500  4 O 2.50-2.51
Na2 0.0000 0.9964 0.7500  4 O 2.50-2.51
Mn1 0.5000 0.5005 0.2500  4 O 2.15
Mn2 0.5000 0.4995 0.7500  4 O 2.15
Cu1 0.5000 0.0000 0.0000  2 O 1.82
Cu2 0.5000 0.0000 0.5000  2 O 1.82
O1 0.2770 0.2896 0.9997  1 Cu 1.82
O2 0.2770 0.7104 0.4997  1 Cu 1.82
O3 0.7230 0.2896 0.5003  1 Cu 1.82
O4 0.7230 0.7104 0.0003  1 Cu 1.82

Results
Raw total energy = -5.689 eV/atom
SG = No. 13